Compound: Li4VGa3O8
Source: the Alexandria database
Functional: GGA+U
Structure: relaxed

## Properties
Calculated total energy (eV for the cell shown): -96.0
M_tot (μB/cell): 2.00

```
data_Li4VGa3O8
_cell_length_a 5.0869
_cell_length_b 5.5301
_cell_length_c 6.4939
_cell_angle_alpha 90.06
_cell_angle_beta 90.07
_cell_angle_gamma 90.09
_space_group_name_H-M_alt 'P 1'
_space_group_IT_number 1
loop_
_space_group_symop_operation_xyz
'x,y,z'
loop_
_atom_site_label
_atom_site_fract_x
_atom_site_fract_y
_atom_site_fract_z
_atom_site_occupancy
Li1 0.0000 0.0000 0.0000 1
Li2 0.0003 0.4928 0.2536 1
Li3 0.4994 0.8326 0.7523 1
Li4 0.5000 0.3296 0.5038 1
V1 0.4982 0.8304 0.2491 1
Ga1 0.4961 0.3321 0.9987 1
Ga2 0.9932 0.9978 0.5080 1
Ga3 0.9956 0.4977 0.7504 1
O1 0.1034 0.3212 0.5177 1
O2 0.1045 0.8208 0.7396 1
O3 0.1143 0.8473 0.2676 1
O4 0.1270 0.3476 0.9875 1
O5 0.6030 0.4951 0.2381 1
O6 0.6036 0.0107 0.0078 1
O7 0.6246 0.9868 0.4968 1
O8 0.6267 0.4880 0.7642 1
```